Density functional theory data (GGA-PBE) for an optimized crystal structure of AcSm2Sc.

Results
Energy above the most stable polymorph in this dataset   26 meV per atom
E_form   2.32 kcal/mol of atoms
SG   No. 160

Lattice parameters (Å, degrees): 3.6659 3.6659 11.8904 81.13 81.13 60.00
Positions (direct):
Ac: 0.5001 0.5001 0.4996
Sm: 0.0765 0.0765 0.7704
Sm: 0.2570 0.2570 0.2290
Sc: 0.6664 0.6664 0.0009